No. 1
DFT (PBE-GGA) results for an optimized crystal structure of Sm3HoEr5.

Cell lengths 9.469, 9.469, 9.964 Å; angles 121.60, 121.60, 73.00 degrees
Fractional coordinates of all 18 atoms:
1 Sm 0.000 0.000 0.000
2 Sm 0.009 0.009 0.308
3 Sm 0.476 0.476 0.135
4 Sm 0.500 0.500 0.500
5 Sm 0.524 0.524 0.865
6 Sm 0.991 0.991 0.692
7 Ho 0.252 0.252 0.103
8 Ho 0.748 0.748 0.897
9 Er 0.092 0.592 0.749
10 Er 0.217 0.217 0.726
11 Er 0.241 0.759 0.500
12 Er 0.278 0.278 0.465
13 Er 0.408 0.908 0.251
14 Er 0.592 0.092 0.749
15 Er 0.722 0.722 0.535
16 Er 0.759 0.241 0.500
17 Er 0.783 0.783 0.274
18 Er 0.908 0.408 0.251

Values from the calculation:
DOS(E_F)   23.99 states/eV per cell
Symmetry   No. 12
VASP energy   -73.509 eV for the cell shown
Energy relative to the lowest polymorph listed for this composition   235 meV/atom
ΔE_f   4.79 eV per formula unit



No. 2
DFT (PBE-GGA) results for an optimized crystal structure of Sm2HoEr6.

Cell lengths 10.588, 10.588, 5.012 Å; angles 90.00, 90.00, 90.00 degrees
Fractional coordinates of all 18 atoms:
1 Sm 0.167 0.167 0.000
2 Sm 0.333 0.667 0.500
3 Sm 0.667 0.333 0.500
4 Sm 0.833 0.833 0.000
5 Ho 0.000 0.000 0.500
6 Ho 0.500 0.500 0.000
7 Er 0.001 0.334 0.500
8 Er 0.166 0.501 0.000
9 Er 0.167 0.833 0.000
10 Er 0.333 0.333 0.500
11 Er 0.334 0.001 0.500
12 Er 0.499 0.834 0.000
13 Er 0.501 0.166 0.000
14 Er 0.666 0.999 0.500
15 Er 0.667 0.667 0.500
16 Er 0.833 0.167 0.000
17 Er 0.834 0.499 0.000
18 Er 0.999 0.666 0.500

Values from the calculation:
DOS(E_F)   22.83 states/eV per cell
Symmetry   No. 136
VASP energy   -82.391 eV for the cell shown
Energy relative to the lowest polymorph listed for this composition   0 meV/atom
ΔE_f   0.20 eV per formula unit



No. 3
DFT (PBE-GGA) results for an optimized crystal structure of SmHo2Er.

Cell lengths 3.542, 3.542, 10.041 Å; angles 90.00, 90.00, 90.00 degrees
Fractional coordinates of all 4 atoms:
1 Sm 0.000 0.000 0.000
2 Ho 0.500 0.500 0.254
3 Ho 0.500 0.500 0.746
4 Er 0.000 0.000 0.500

Values from the calculation:
DOS(E_F)   5.22 states/eV per cell
Symmetry   No. 123
VASP energy   -18.349 eV for the cell shown
Energy relative to the lowest polymorph listed for this composition   12 meV/atom
ΔE_f   0.09 eV per formula unit



No. 4
DFT (PBE-GGA) results for an optimized crystal structure of SmHo2Er6.

Cell lengths 10.562, 10.562, 4.986 Å; angles 90.00, 90.00, 90.00 degrees
Fractional coordinates of all 18 atoms:
1 Sm 0.000 0.000 0.000
2 Sm 0.500 0.500 0.500
3 Ho 0.167 0.167 0.500
4 Ho 0.333 0.667 0.000
5 Ho 0.667 0.333 0.000
6 Ho 0.833 0.833 0.500
7 Er 0.000 0.334 0.000
8 Er 0.000 0.666 0.000
9 Er 0.166 0.500 0.500
10 Er 0.167 0.833 0.500
11 Er 0.333 0.333 0.000
12 Er 0.334 0.000 0.000
13 Er 0.500 0.166 0.500
14 Er 0.500 0.834 0.500
15 Er 0.666 0.000 0.000
16 Er 0.667 0.667 0.000
17 Er 0.833 0.167 0.500
18 Er 0.834 0.500 0.500

Values from the calculation:
DOS(E_F)   22.69 states/eV per cell
Symmetry   No. 136
VASP energy   -82.101 eV for the cell shown
Energy relative to the lowest polymorph listed for this composition   0 meV/atom
ΔE_f   0.20 eV per formula unit



No. 5
DFT (PBE-GGA) results for an optimized crystal structure of Sm11Ho9Er4.

Cell lengths 15.284, 15.284, 3.631 Å; angles 90.00, 90.00, 113.16 degrees
Fractional coordinates of all 24 atoms:
1 Sm 0.000 0.000 0.000
2 Sm 0.043 0.406 0.000
3 Sm 0.161 0.839 0.000
4 Sm 0.293 0.293 0.000
5 Sm 0.369 0.631 0.000
6 Sm 0.406 0.043 0.000
7 Sm 0.594 0.957 0.000
8 Sm 0.631 0.369 0.000
9 Sm 0.707 0.707 0.000
10 Sm 0.839 0.161 0.000
11 Sm 0.957 0.594 0.000
12 Ho 0.068 0.214 0.500
13 Ho 0.166 0.630 0.500
14 Ho 0.214 0.068 0.500
15 Ho 0.370 0.834 0.500
16 Ho 0.500 0.500 0.500
17 Ho 0.630 0.166 0.500
18 Ho 0.786 0.932 0.500
19 Ho 0.834 0.370 0.500
20 Ho 0.932 0.786 0.500
21 Er 0.241 0.445 0.500
22 Er 0.445 0.241 0.500
23 Er 0.555 0.759 0.500
24 Er 0.759 0.555 0.500

Values from the calculation:
DOS(E_F)   30.61 states/eV per cell
Symmetry   No. 65
VASP energy   -110.071 eV for the cell shown
ΔE_f   1.29 eV per formula unit



No. 6
DFT (PBE-GGA) results for an optimized crystal structure of SmHo8Er4.

Cell lengths 9.911, 9.911, 9.911 Å; angles 42.79, 42.79, 42.79 degrees
Fractional coordinates of all 13 atoms:
1 Sm 0.000 0.000 0.000
2 Ho 0.251 0.251 0.696
3 Ho 0.251 0.696 0.251
4 Ho 0.282 0.282 0.282
5 Ho 0.304 0.749 0.749
6 Ho 0.696 0.251 0.251
7 Ho 0.718 0.718 0.718
8 Ho 0.749 0.304 0.749
9 Ho 0.749 0.749 0.304
10 Er 0.000 0.000 0.500
11 Er 0.000 0.500 0.000
12 Er 0.500 0.000 0.000
13 Er 0.500 0.500 0.500

Values from the calculation:
DOS(E_F)   15.21 states/eV per cell
Symmetry   No. 166
VASP energy   -56.868 eV for the cell shown
ΔE_f   2.73 eV per formula unit



No. 7
DFT (PBE-GGA) results for an optimized crystal structure of Sm6Ho4Er.

Cell lengths 9.747, 9.747, 9.747 Å; angles 140.34, 140.34, 57.33 degrees
Fractional coordinates of all 11 atoms:
1 Sm 0.000 0.500 0.500
2 Sm 0.013 0.636 0.000
3 Sm 0.364 0.364 0.377
4 Sm 0.500 0.000 0.500
5 Sm 0.636 0.013 0.000
6 Sm 0.987 0.987 0.623
7 Ho 0.193 0.193 0.641
8 Ho 0.449 0.807 0.000
9 Ho 0.551 0.551 0.359
10 Ho 0.807 0.449 0.000
11 Er 0.000 0.000 0.000

Values from the calculation:
DOS(E_F)   16.25 states/eV per cell
Symmetry   No. 121
VASP energy   -47.835 eV for the cell shown
Energy relative to the lowest polymorph listed for this composition   184 meV/atom
ΔE_f   3.35 eV per formula unit



No. 8
DFT (PBE-GGA) results for an optimized crystal structure of SmHo3Er7.

Cell lengths 6.884, 5.481, 9.827 Å; angles 90.00, 109.53, 90.00 degrees
Fractional coordinates of all 11 atoms:
1 Sm 0.000 0.000 0.000
2 Ho 0.277 0.500 0.496
3 Ho 0.500 0.000 0.000
4 Ho 0.723 0.500 0.504
5 Er 0.000 0.000 0.500
6 Er 0.149 0.500 0.790
7 Er 0.322 0.500 0.142
8 Er 0.425 0.000 0.332
9 Er 0.575 0.000 0.668
10 Er 0.678 0.500 0.858
11 Er 0.851 0.500 0.210

Values from the calculation:
DOS(E_F)   18.09 states/eV per cell
Symmetry   No. 10
VASP energy   -48.695 eV for the cell shown
Energy relative to the lowest polymorph listed for this composition   0 meV/atom
ΔE_f   1.70 eV per formula unit



No. 9
DFT (PBE-GGA) results for an optimized crystal structure of Sm8HoEr2.

Cell lengths 8.997, 8.997, 6.673 Å; angles 99.47, 99.47, 43.93 degrees
Fractional coordinates of all 11 atoms:
1 Sm 0.093 0.093 0.911
2 Sm 0.151 0.674 0.596
3 Sm 0.255 0.255 0.682
4 Sm 0.326 0.849 0.404
5 Sm 0.674 0.151 0.596
6 Sm 0.745 0.745 0.318
7 Sm 0.849 0.326 0.404
8 Sm 0.907 0.907 0.089
9 Ho 0.500 0.500 0.000
10 Er 0.302 0.302 0.195
11 Er 0.698 0.698 0.805

Values from the calculation:
DOS(E_F)   17.81 states/eV per cell
Symmetry   No. 12
VASP energy   -49.543 eV for the cell shown
Energy relative to the lowest polymorph listed for this composition   158 meV/atom
ΔE_f   1.91 eV per formula unit



No. 10
DFT (PBE-GGA) results for an optimized crystal structure of Sm5Ho2Er2.

Cell lengths 10.337, 10.337, 10.337 Å; angles 86.76, 103.56, 145.28 degrees
Fractional coordinates of all 18 atoms:
1 Sm 0.149 0.479 0.958
2 Sm 0.149 0.691 0.170
3 Sm 0.201 0.049 0.250
4 Sm 0.201 0.451 0.652
5 Sm 0.521 0.191 0.042
6 Sm 0.521 0.979 0.830
7 Sm 0.566 0.495 0.571
8 Sm 0.799 0.549 0.348
9 Sm 0.799 0.951 0.750
10 Sm 0.924 0.995 0.429
11 Ho 0.792 0.206 0.317
12 Ho 0.792 0.975 0.086
13 Ho 0.889 0.475 0.683
14 Ho 0.889 0.706 0.914
15 Er 0.220 0.024 0.696
16 Er 0.328 0.524 0.304
17 Er 0.399 0.399 0.000
18 Er 0.399 0.899 0.500

Values from the calculation:
DOS(E_F)   23.76 states/eV per cell
Symmetry   No. 46
VASP energy   -80.505 eV for the cell shown
Energy relative to the lowest polymorph listed for this composition   162 meV/atom
ΔE_f   1.62 eV per formula unit



No. 11
DFT (PBE-GGA) results for an optimized crystal structure of Sm3Ho2Er5.

Cell lengths 9.513, 9.513, 9.385 Å; angles 108.35, 108.35, 112.12 degrees
Fractional coordinates of all 20 atoms:
1 Sm 0.021 0.269 0.046
2 Sm 0.234 0.766 0.750
3 Sm 0.269 0.021 0.546
4 Sm 0.731 0.979 0.454
5 Sm 0.766 0.234 0.250
6 Sm 0.979 0.731 0.954
7 Ho 0.230 0.466 0.452
8 Ho 0.466 0.230 0.952
9 Ho 0.534 0.770 0.048
10 Ho 0.770 0.534 0.548
11 Er 0.027 0.973 0.750
12 Er 0.147 0.372 0.767
13 Er 0.271 0.729 0.250
14 Er 0.372 0.147 0.267
15 Er 0.471 0.529 0.250
16 Er 0.529 0.471 0.750
17 Er 0.628 0.853 0.733
18 Er 0.729 0.271 0.750
19 Er 0.853 0.628 0.233
20 Er 0.973 0.027 0.250

Values from the calculation:
DOS(E_F)   35.79 states/eV per cell
Symmetry   No. 15
VASP energy   -88.293 eV for the cell shown
Energy relative to the lowest polymorph listed for this composition   0 meV/atom
ΔE_f   1.98 eV per formula unit



No. 12
DFT (PBE-GGA) results for an optimized crystal structure of Sm2Ho8Er.

Cell lengths 9.987, 9.987, 5.567 Å; angles 92.56, 92.56, 40.79 degrees
Fractional coordinates of all 11 atoms:
1 Sm 0.216 0.216 0.252
2 Sm 0.784 0.784 0.748
3 Ho 0.046 0.046 0.235
4 Ho 0.104 0.637 0.266
5 Ho 0.315 0.315 0.767
6 Ho 0.363 0.896 0.734
7 Ho 0.637 0.104 0.266
8 Ho 0.685 0.685 0.233
9 Ho 0.896 0.363 0.734
10 Ho 0.954 0.954 0.765
11 Er 0.500 0.500 0.000

Values from the calculation:
DOS(E_F)   17.53 states/eV per cell
Symmetry   No. 12
VASP energy   -48.750 eV for the cell shown
ΔE_f   1.87 eV per formula unit



Computed spin magnetization, in the same sequence as the records: 0.00, 0.00, 0.00, 0.00, 0.00, 0.00, 0.00, 0.00, 0.00, 0.00, 0.00, 0.00 μB/f.u..